Er8Tm6Zr GGA-PBE optimized geometry; DFT formation energy = 0.1572 eV/atom; crystal system = trigonal; symmetry = No. 147
1.0
5.696 0.000 0.000
0.000 8.331 -4.810
0.000 0.000 9.619
Tm Er Zr
6 8 1
Direct
0.745 0.621 0.093 Tm
0.745 0.907 0.528 Tm
0.255 0.379 0.907 Tm
0.255 0.093 0.472 Tm
0.255 0.528 0.621 Tm
0.745 0.472 0.379 Tm
0.767 0.219 0.948 Er
0.233 0.781 0.052 Er
0.767 0.052 0.271 Er
0.233 0.271 0.219 Er
0.233 0.948 0.729 Er
0.235 0.667 0.333 Er
0.765 0.333 0.667 Er
0.767 0.729 0.781 Er
0.500 0.000 0.000 Zr